YWN2O | Alexandria via LeMat-Bulk | PBE+U | relaxed; calculated volume = 12.70 Å³/atom; N(E_F) = 1.17 states/eV/f.u.; magnetization = 0.39 Bohr magnetons per cell; E_tot = -8.187 eV/atom
1.0
4.0274 0.0000 0.0000
0.0000 4.0274 0.0000
0.0000 0.0000 3.9157
Y W N O
1 1 2 1
Direct
0.0000 0.0000 0.0000 Y
0.5000 0.5000 0.5000 W
0.0000 0.5000 0.5000 N
0.5000 0.0000 0.5000 N
0.5000 0.5000 0.0000 O